VASP calculation (PBE) on a geometry-optimized ScCr4Ir structure.

The structure belongs to space group F-43m (No. 216); the cell edges are 6.8656, 6.8656 and 6.8656 Å and the angles 90.00°, 90.00° and 90.00°. The inequivalent atoms are Sc at (0.0000, 0.0000, 0.0000), Cr at (0.1271, 0.1271, 0.3729) and Ir at (0.2500, 0.2500, 0.7500).

The energy is -8.980 eV per atom. The formation energy comes out at -19 kJ/mol of formula units. Its density of states at the Fermi level is 8.93 states/eV/f.u.

VASP calculation (PBE) on a geometry-optimized SrFeH2S structure.

The structure belongs to space group P4/mmm (No. 123); the cell edges are 4.0728, 4.0728 and 6.0391 Å and the angles 90.00°, 90.00° and 90.00°. The inequivalent atoms are Sr at (0.0000, 0.0000, 0.0000), Fe at (0.5000, 0.5000, 0.5000), H at (0.0000, 0.5000, 0.0000) and S at (0.0000, 0.0000, 0.5000).

The energy is -3.792 eV per atom. Its density of states at the Fermi level is 5.02 states/eV/f.u.

VASP calculation (PBE) on a geometry-optimized PuGeH structure.

The structure belongs to space group Cmcm (No. 63); the cell edges are 4.1549, 11.2611 and 4.0278 Å and the angles 90.00°, 90.00° and 90.00°. The inequivalent atoms are Pu at (0.0000, 0.1547, 0.2500), Ge at (0.0000, 0.4322, 0.2500) and H at (0.0000, 0.2558, 0.7500).

The energy is -7.939 eV per atom. Its density of states at the Fermi level is 9.03 states/eV/f.u. The energy relative to the lowest polymorph listed for this composition comes out at 0.000 eV/atom.

VASP calculation (PBE) on a geometry-optimized InP2Br structure.

The structure belongs to space group P4/mmm (No. 123); the cell edges are 4.7695, 4.7695 and 5.9479 Å and the angles 90.00°, 90.00° and 90.00°. The inequivalent atoms are In at (0.0000, 0.0000, 0.0000), P at (0.5000, 0.5000, 0.1634) and Br at (0.0000, 0.0000, 0.5000).

The energy is -3.594 eV per atom. The calculation puts the raw formation energy at 0.213 eV/atom. The energy relative to the lowest polymorph listed for this composition comes out at 0.323 eV/atom.

VASP calculation (PBE) on a geometry-optimized ZrZn2Tc structure.

The structure belongs to space group P4/mmm (No. 123); the cell edges are 3.8812, 3.8812 and 4.3115 Å and the angles 90.00°, 90.00° and 90.00°. The inequivalent atoms are Zr at (0.0000, 0.0000, 0.0000), Zn at (0.0000, 0.5000, 0.5000) and Tc at (0.5000, 0.5000, 0.0000).

The energy is -5.517 eV per atom. The formation energy comes out at -58 kJ/mol of formula units. Its density of states at the Fermi level is 2.20 states/eV/f.u. The energy relative to the lowest polymorph listed for this composition comes out at 0.069 eV/atom.

VASP calculation (PBE) on a geometry-optimized ZnCd2Os structure.

The structure belongs to space group Cmmm (No. 65); the cell edges are 5.5926, 8.5008 and 2.9318 Å and the angles 90.00°, 90.00° and 90.00°. The inequivalent atoms are Zn at (0.0000, 0.0000, 0.0000), Cd at (0.2500, 0.2500, 0.5000) and Os at (0.0000, 0.5000, 0.0000).

The energy is -3.168 eV per atom. The formation energy comes out at 160 kJ/mol of formula units. Its density of states at the Fermi level is 2.29 states/eV/f.u.

VASP calculation (PBE) on a geometry-optimized AlIn2Te structure.

The structure belongs to space group Pm (No. 6); the cell edges are 3.0651, 5.8140 and 5.9840 Å and the angles 90.00°, 90.03° and 90.00°. The inequivalent atoms are Al at (0.0000, 0.0000, 0.0000), In at (0.4620, 0.0000, 0.4995), In at (0.9305, 0.5000, 0.5006) and Te at (0.9893, 0.5000, 0.0007).

The energy is -3.044 eV per atom. The calculation puts the raw formation energy at 0.047 eV/atom. Its density of states at the Fermi level is 0.87 states/eV/f.u. The energy relative to the lowest polymorph listed for this composition comes out at 0.088 eV/atom.

VASP calculation (PBE) on a geometry-optimized Y2Ni21P6 structure.

The structure belongs to space group Fm-3m (No. 225); the cell edges are 11.1986, 11.1986 and 11.1986 Å and the angles 90.00°, 90.00° and 90.00°. The inequivalent atoms are Y at (0.2500, 0.2500, 0.2500), Ni at (0.0000, 0.0000, 0.0000), Ni at (0.0000, 0.1743, 0.1743), Ni at (0.1121, 0.1121, 0.3879) and P at (0.0000, 0.0000, 0.2598).

The energy is -6.256 eV per atom. The formation energy comes out at -1411 kJ/mol of formula units. Its density of states at the Fermi level is 7.91 states/eV/f.u.

VASP calculation (PBE) on a geometry-optimized CdPtClO2 structure.

The structure belongs to space group P4/mmm (No. 123); the cell edges are 3.8616, 3.8616 and 5.8617 Å and the angles 90.00°, 90.00° and 90.00°. The inequivalent atoms are Cd at (0.0000, 0.0000, 0.0000), Pt at (0.0000, 0.0000, 0.5000), Cl at (0.5000, 0.5000, 0.0000) and O at (0.0000, 0.5000, 0.5000).

The energy is -4.057 eV per atom. The calculation puts the raw formation energy at -0.314 eV/atom. Its density of states at the Fermi level is 1.96 states/eV/f.u.

VASP calculation (PBE) on a geometry-optimized Sr2MgAs2 structure.

The structure belongs to space group P4/mbm (No. 127); the cell edges are 8.0110, 8.0110 and 4.3705 Å and the angles 90.00°, 90.00° and 90.00°. The inequivalent atoms are Sr at (0.1453, 0.3547, 0.0000), Mg at (0.0000, 0.0000, 0.5000) and As at (0.1664, 0.6664, 0.5000).

The energy is -3.657 eV per atom. The formation energy comes out at -389 kJ/mol of formula units. Its density of states at the Fermi level is 2.27 states/eV/f.u.

VASP calculation (PBE) on a geometry-optimized Ta2HgTe structure.

The structure belongs to space group Pmmm (No. 47); the cell edges are 3.4642, 4.6914 and 5.0238 Å and the angles 90.00°, 90.00° and 90.00°. The inequivalent atoms are Ta at (0.0000, 0.0000, 0.0000), Ta at (0.5000, 0.0000, 0.5000), Hg at (0.0000, 0.5000, 0.5000) and Te at (0.5000, 0.5000, 0.0000).

The energy is -6.278 eV per atom. The calculation puts the raw formation energy at 0.510 eV/atom. Its density of states at the Fermi level is 2.38 states/eV/f.u. The energy relative to the lowest polymorph listed for this composition comes out at 0.326 eV/atom.

VASP calculation (PBE) on a geometry-optimized RbCd3Bi3 structure.

The structure belongs to space group R-3 (No. 148, hexagonal axes); the cell edges are 7.9658, 7.9658 and 29.5179 Å and the angles 90.00°, 90.00° and 120.00°. The inequivalent atoms are Rb at (0.0000, 0.0000, 0.1682), Cd at (0.0075, 0.3545, 0.3617) and Bi at (0.0052, 0.3173, 0.5915).

The energy is -2.250 eV per atom. The formation energy comes out at -38 kJ/mol of formula units. Its density of states at the Fermi level is 2.48 states/eV/f.u. The energy relative to the lowest polymorph listed for this composition comes out at 0.036 eV/atom.

VASP calculation (PBE) on a geometry-optimized Ce2Pm2CoBi2 structure.

The structure belongs to space group I4/mmm (No. 139); the cell edges are 4.8399, 4.8399 and 17.6058 Å and the angles 90.00°, 90.00° and 90.00°. The inequivalent atoms are Ce at (0.0000, 0.5000, 0.0000), Pm at (0.0000, 0.0000, 0.1703), Co at (0.0000, 0.0000, 0.0000) and Bi at (0.0000, 0.0000, 0.3575).

The energy is -5.810 eV per atom. The formation energy comes out at -428 kJ/mol of formula units. Its density of states at the Fermi level is 9.31 states/eV/f.u.

VASP calculation (PBE) on a geometry-optimized Si2SeN2 structure.

The structure belongs to space group Cmc2_1 (No. 36); the cell edges are 10.8556, 5.6236 and 4.9139 Å and the angles 90.00°, 90.00° and 90.00°. The inequivalent atoms are Si at (0.1884, 0.1450, 0.0000), Se at (0.0000, 0.2797, 0.8584) and N at (0.2237, 0.1273, 0.3453).

The energy is -7.001 eV per atom. The calculation puts the raw formation energy at -0.805 eV/atom. Its density of states at the Fermi level is 0.00 states/eV/f.u.

VASP calculation (PBE) on a geometry-optimized LiPI3 structure.

The structure belongs to space group Pm-3m (No. 221); the cell edges are 5.4701, 5.4701 and 5.4701 Å and the angles 90.00°, 90.00° and 90.00°. The inequivalent atoms are Li at (0.0000, 0.0000, 0.0000), P at (0.5000, 0.5000, 0.5000) and I at (0.0000, 0.0000, 0.5000).

The energy is -2.005 eV per atom. The calculation puts the raw formation energy at 0.389 eV/atom. Its density of states at the Fermi level is 5.33 states/eV/f.u. The energy relative to the lowest polymorph listed for this composition comes out at 0.874 eV/atom.

VASP calculation (PBE) on a geometry-optimized Ti6RhN2 structure.

The structure belongs to space group C2/m (No. 12); the cell edges are 10.0280, 4.1021 and 7.2187 Å and the angles 90.00°, 117.64° and 90.00°. The inequivalent atoms are Ti at (0.0209, 0.0000, 0.1896), Ti at (0.1721, 0.5000, 0.5746), Ti at (0.1955, 0.5000, 0.0837), Rh at (0.0000, 0.0000, 0.5000) and N at (0.1841, 0.0000, 0.0898).

The energy is -8.746 eV per atom. The calculation puts the raw formation energy at -0.816 eV/atom. Its density of states at the Fermi level is 6.75 states/eV/f.u.

VASP calculation (PBE) on a geometry-optimized PmSm2Hg2Pb2 structure.

The structure belongs to space group R-3m (No. 166, hexagonal axes); the cell edges are 5.1069, 5.1069 and 27.3956 Å and the angles 90.00°, 90.00° and 120.00°. The inequivalent atoms are Pm at (0.0000, 0.0000, 0.0000), Sm at (0.0000, 0.0000, 0.1308), Hg at (0.0000, 0.0000, 0.4339) and Pb at (0.0000, 0.0000, 0.2733).

The energy is -3.432 eV per atom. The formation energy comes out at -175 kJ/mol of formula units. Its density of states at the Fermi level is 5.43 states/eV/f.u.

VASP calculation (PBE) on a geometry-optimized Ba6S2I3Br structure.

The structure belongs to space group C2/m (No. 12); the cell edges are 8.0915, 14.0086 and 8.6773 Å and the angles 90.00°, 108.06° and 90.00°. The inequivalent atoms are Ba at (0.2198, 0.0000, 0.2058), Ba at (0.2443, 0.3257, 0.2090), S at (0.0000, 0.1672, 0.0000), I at (0.0000, 0.0000, 0.5000), I at (0.0000, 0.3380, 0.5000) and Br at (0.0000, 0.5000, 0.0000).

The energy is -3.798 eV per atom. The calculation puts the raw formation energy at -1.622 eV/atom. Its density of states at the Fermi level is 7.30 states/eV/f.u.

VASP calculation (PBE) on a geometry-optimized MgMn2Ir2 structure.

The structure belongs to space group I4/mmm (No. 139); the cell edges are 3.9758, 3.9758 and 10.6645 Å and the angles 90.00°, 90.00° and 90.00°. The inequivalent atoms are Mg at (0.0000, 0.0000, 0.0000), Mn at (0.0000, 0.5000, 0.2500) and Ir at (0.0000, 0.0000, 0.3867).

The energy is -7.504 eV per atom. The formation energy comes out at 13 kJ/mol of formula units. Its density of states at the Fermi level is 3.14 states/eV/f.u. The energy relative to the lowest polymorph listed for this composition comes out at 0.109 eV/atom.

VASP calculation (PBE) on a geometry-optimized BaCa2ScPd structure.

The structure belongs to space group P4/mmm (No. 123); the cell edges are 5.9584, 5.9584 and 5.1980 Å and the angles 90.00°, 90.00° and 90.00°. The inequivalent atoms are Ba at (0.0000, 0.0000, 0.0000), Ca at (0.0000, 0.5000, 0.0000), Sc at (0.5000, 0.5000, 0.5000) and Pd at (0.0000, 0.0000, 0.5000).

The energy is -2.559 eV per atom. The formation energy comes out at 449 kJ/mol of formula units. Its density of states at the Fermi level is 5.29 states/eV/f.u. The energy relative to the lowest polymorph listed for this composition comes out at 1.149 eV/atom.

VASP calculation (PBE) on a geometry-optimized KZn2Cd9 structure.

The structure belongs to space group I4_1/amd (No. 141, origin choice 2); the cell edges are 11.9690, 11.9690 and 7.7166 Å and the angles 90.00°, 90.00° and 90.00°. The inequivalent atoms are K at (0.0000, 0.2500, 0.3750), Zn at (0.0000, 0.0000, 0.0000), Cd at (0.0000, 0.2500, 0.8750) and Cd at (0.1212, 0.0478, 0.6816).

The energy is -1.046 eV per atom. The formation energy comes out at -65 kJ/mol of formula units. Its density of states at the Fermi level is 1.62 states/eV/f.u.